The following is a PBE-GGA calculation of Tm8HgTe4As3 after structural relaxation, from Alexandria via LeMat-Bulk.

Cell: 8.4804 8.4804 8.4804 Å, 59.28 59.28 59.28°
Fractional coordinates of all 16 atoms:
Tm (0.2381, 0.7426, 0.7426)
Tm (0.2388, 0.2388, 0.2388)
Tm (0.2574, 0.2574, 0.7619)
Tm (0.2574, 0.7619, 0.2574)
Tm (0.7426, 0.2381, 0.7426)
Tm (0.7426, 0.7426, 0.2381)
Tm (0.7612, 0.7612, 0.7612)
Tm (0.7619, 0.2574, 0.2574)
Hg (0.5000, 0.5000, 0.5000)
Te (0.0000, 0.0000, 0.0000)
Te (0.0000, 0.5000, 0.5000)
Te (0.5000, 0.0000, 0.5000)
Te (0.5000, 0.5000, 0.0000)
As (0.0000, 0.0000, 0.5000)
As (0.0000, 0.5000, 0.0000)
As (0.5000, 0.0000, 0.0000)

* M_tot: 0.0 μB per formula unit
* calculated total energy: -5.163 eV per atom
* DOS(E_F): 6.804 states/eV/f.u.
* theoretical density: 8.95 g/cm³